VASP calculation (PBE-GGA) on crystalline RbSrNpN3 at its relaxed geometry.

## Properties
Its space-group type is C2/c. For the formation energy (no corrections), the calculation gives -0.68 eV/atom.

abc: 6.172 6.236 7.141
angles: 64.11 87.61 84.52
Atoms (fractional coordinates):
1 N 0.250 0.783 0.434
2 N 0.501 0.816 0.956
3 N 0.750 0.217 0.566
4 N 0.499 0.184 0.044
5 N 0.999 0.228 0.956
6 N 0.001 0.772 0.044
7 Np 0.750 0.065 0.869
8 Np 0.250 0.935 0.131
9 Rb 0.750 0.751 0.497
10 Rb 0.250 0.249 0.503
11 Sr 0.250 0.582 0.835
12 Sr 0.750 0.418 0.165